(1)
An optimized crystal structure of PmMn2Al2C. Source: Alexandria, functional GGA-PBE.

abc: 3.9449 3.9449 5.6769
angles: 90.00 90.00 90.00
Closest atoms and distances in Å follow each position.
Space group P4/mmm (No. 123)
Unique sites:
Pm (0.0000, 0.0000, 0.0000) x1  2 C 2.84, 8 Al 3.09
Mn (0.0000, 0.5000, 0.5000) x2  2 C 1.97
Al (0.5000, 0.5000, 0.2361) x2  4 Mn 2.48, 1 Al 2.68
C (0.0000, 0.0000, 0.5000) x1  4 Mn 1.97

Output
The value obtained for the formation energy from the elements is -0.311 eV/atom. Its total energy is -41.66 eV per formula unit. As for the theoretical density: 6.03 g cm⁻³. The total moment is 1.83 μB/cell.

---

(2)
An optimized crystal structure of PmMnAlC. Source: Alexandria, functional GGA-PBE.

abc: 3.3044 3.5760 10.7535
angles: 90.00 90.00 90.00
Closest atoms and distances in Å follow each position.
Space group Amm2 (No. 38)
Unique sites:
Pm (0.0000, 0.0000, 0.0000) x2  4 C 2.80, 3 Mn 2.94-3.05
Mn (0.0000, 0.0000, 0.2835) x2  2 C 1.90
Al (0.5000, 0.0000, 0.7302) x2  2 C 2.35, 4 Mn 2.50
C (0.5000, 0.0000, 0.3714) x2  2 Mn 1.90

Output
The value obtained for the formation energy from the elements is 0.019 eV/atom. Its total energy is -26.81 eV per formula unit. As for the theoretical density: 6.24 g cm⁻³. The total moment is 1.72 μB/cell.

---

(3)
An optimized crystal structure of Mn2AlReC. Source: Alexandria, functional GGA-PBE.

abc: 3.8367 3.8367 4.0784
angles: 90.00 90.00 90.00
Closest atoms and distances in Å follow each position.
Space group P4/mmm (No. 123)
Unique sites:
Mn (0.0000, 0.5000, 0.0000) x2  2 C 1.92
Al (0.0000, 0.0000, 0.5000) x1  4 Re 2.71, 8 Mn 2.80
Re (0.5000, 0.5000, 0.5000) x1  2 C 2.04
C (0.5000, 0.5000, 0.0000) x1  4 Mn 1.92, 2 Re 2.04

Output
The value obtained for the formation energy from the elements is -0.083 eV/atom. Its total energy is -44.17 eV per formula unit. As for the theoretical density: 9.27 g cm⁻³. The total moment is 3.29 μB/cell.

---

(4)
An optimized crystal structure of Mn2AlRuC. Source: Alexandria, functional GGA-PBE.

abc: 3.8066 3.8066 4.0601
angles: 90.00 90.00 90.00
Closest atoms and distances in Å follow each position.
Space group P4/mmm (No. 123)
Unique sites:
Mn (0.0000, 0.5000, 0.0000) x2  2 C 1.90
Al (0.0000, 0.0000, 0.5000) x1  4 Ru 2.69, 8 Mn 2.78
Ru (0.5000, 0.5000, 0.5000) x1  2 C 2.03
C (0.5000, 0.5000, 0.0000) x1  4 Mn 1.90, 2 Ru 2.03

Output
The value obtained for the formation energy from the elements is -0.179 eV/atom. Its total energy is -41.47 eV per formula unit. As for the theoretical density: 7.05 g cm⁻³. The total moment is 3.19 μB/cell.

---

(5)
An optimized crystal structure of MnAl2CS. Source: Alexandria, functional GGA-PBE.

abc: 4.8084 4.8084 3.3320
angles: 90.00 90.00 90.00
Closest atoms and distances in Å follow each position.
Space group P4/mmm (No. 123)
Unique sites:
Mn (0.0000, 0.0000, 0.0000) x1  8 Al 2.93
Al (0.0000, 0.5000, 0.5000) x2  2 S 2.40
C (0.5000, 0.5000, 0.0000) x1  2 S 1.67
S (0.5000, 0.5000, 0.5000) x1  2 C 1.67

Output
Its total energy is -22.72 eV per formula unit. As for the theoretical density: 3.30 g cm⁻³. The total moment is 0.21 μB/cell.

---

(6)
An optimized crystal structure of Sc2MnAlC. Source: Alexandria, functional GGA-PBE.

abc: 4.5407 4.5407 3.7307
angles: 90.00 90.00 90.00
Closest atoms and distances in Å follow each position.
Space group P4/mmm (No. 123)
Unique sites:
Sc (0.0000, 0.5000, 0.0000) x2  2 C 2.27
Mn (0.0000, 0.0000, 0.5000) x1  2 C 1.87
Al (0.5000, 0.5000, 0.5000) x1  8 Sc 2.94, 4 Mn 3.21
C (0.0000, 0.0000, 0.0000) x1  2 Mn 1.87

Output
The value obtained for the formation energy from the elements is -0.440 eV/atom. Its total energy is -37.00 eV per formula unit. As for the theoretical density: 3.97 g cm⁻³. The total moment is 0.00 μB/cell.